Y2CoO5 | PBE+U | relaxed

a b c (Å): 3.716 10.327 11.212
angles (deg): 90.00 90.00 90.00
Each line ends with the local moment (μB).
Element x y z (fractional)
Co  0.750  0.318  0.622  2.45
O  0.250  0.490  0.896  -0.01
Co  0.750  0.818  0.878  2.45
Y  0.750  0.362  0.944  0.01
O  0.250  0.990  0.604  -0.01
O  0.750  0.239  0.120  0.00
O  0.750  0.739  0.380  0.00
Y  0.750  0.862  0.556  0.01
O  0.250  0.761  0.880  0.00
O  0.750  0.510  0.104  -0.01
O  0.750  0.737  0.728  0.01
Y  0.250  0.606  0.722  0.03
Co  0.250  0.682  0.378  2.45
O  0.250  0.261  0.620  0.00
Y  0.250  0.106  0.778  0.03
O  0.750  0.779  0.039  0.04
O  0.750  0.237  0.772  0.01
O  0.250  0.516  0.337  0.32
Y  0.250  0.638  0.056  0.01
Y  0.250  0.138  0.444  0.01
O  0.750  0.279  0.461  0.04
O  0.750  0.984  0.837  0.32
O  0.250  0.721  0.539  0.04
Co  0.250  0.182  0.122  2.45
O  0.250  0.763  0.228  0.01
Y  0.750  0.894  0.222  0.03
Y  0.750  0.394  0.278  0.03
O  0.250  0.016  0.163  0.32
O  0.750  0.484  0.663  0.32
O  0.250  0.221  0.961  0.04
O  0.250  0.263  0.272  0.01
O  0.750  0.010  0.396  -0.01

Computed properties:
mass density = 4.89 g/cm³
V = 430 Å³ per cell
SG = Pnma
DFT total energy = -7.83 eV/atom